Entry 1:
{
  "formula": "TlTeAuI2",
  "functional": "PBE-GGA",
  "state": "optimized geometry",
  "lattice": [[6.0098, 0.0000, 0.0000], [0.0000, 6.0098, 0.0000], [0.0000, 0.0000, 5.8547]],
  "species": ["I", "I", "Au", "Te", "Tl"],
  "frac_coords": [[0.0000, 0.5000, 0.0000], [0.5000, 0.0000, 0.0000], [0.5000, 0.5000, 0.5000], [0.0000, 0.0000, 0.5000], [0.0000, 0.0000, 0.0000]],
  "formation_energy_uncorrected_mev_per_atom": 604,
  "polymorph_energy_ev_per_atom": 0.638,
  "volume_a3_per_cell": 211.5,
  "sg": "No. 123"
}


Entry 2:
{
  "formula": "VTe2AuI",
  "functional": "PBE-GGA",
  "state": "optimized geometry",
  "lattice": [[-4.0378, -0.0407, 3.0648], [-0.8587, -4.8509, -1.1958], [3.2973, -1.6491, 4.3222]],
  "species": ["V", "Au", "I", "Te", "Te"],
  "frac_coords": [[0.0000, 0.0000, 0.0000], [0.5000, 0.5000, 0.5000], [0.0000, 0.0000, 0.5000], [0.0000, 0.5000, 0.0000], [0.5000, 0.0000, 0.0000]],
  "formation_energy_uncorrected_mev_per_atom": 416,
  "polymorph_energy_ev_per_atom": 0.000,
  "volume_a3_per_cell": 146.0,
  "sg": "No. 123"
}